1.
Computed, not measured: a geometry-optimized Ba6Bi2Te3Br structure at the PBE-GGA level of DFT.

The structure in extended XYZ format:
```
12
Lattice="-4.0042 -0.2415 2.7352 -4.4451 -6.1660 -7.0520 7.0956 -6.9096 5.4682" Properties=species:S:1:pos:R:3 pbc="T T T"
Ba -0.7275 -10.2876 -1.9735
Ba -2.9062 -6.1023 -0.4842
Ba -0.6262 -3.0296 3.1249
Ba -1.1402 -1.6158 -1.8118
Ba -0.2136 -11.7014 2.9633
Ba 1.5524 -7.2149 1.6356
Bi -1.5677 -8.9843 1.2209
Bi 0.2139 -4.3329 -0.0694
Te -4.2247 -3.2038 -2.1584
Te 0.7037 -5.8771 4.8204
Te -2.0574 -7.4401 -3.6690
Br -2.0021 -0.1208 1.3676
```

As for the calculated density: 5.24 g/cm3. As for the uncorrected formation energy: -1.4629 eV per atom. For the density of states at the Fermi level, the calculation gives 7.77 states/eV/f.u. Its space group is C2/m (12).

=====

2.
Computed, not measured: a geometry-optimized Ba6BiTe3Br2 structure at the PBE-GGA level of DFT.

The structure in extended XYZ format:
```
12
Lattice="8.5854 0.0011 0.0040 -4.2896 7.4369 0.0040 -1.4298 -2.4757 8.1173" Properties=species:S:1:pos:R:3 pbc="T T T"
Ba 4.2665 2.5292 6.0644
Ba 2.8936 5.0103 2.0770
Ba -1.4005 2.4332 2.0609
Ba 0.0585 4.9595 6.0644
Ba -0.0276 -0.0479 6.0483
Ba 2.8074 0.0029 2.0609
Bi 0.0000 0.0000 0.0000
Te -2.8289 4.9426 4.0626
Te 5.6949 0.0198 4.0626
Te 1.4330 2.4812 4.0626
Br 0.0116 4.9528 0.0040
Br 4.2842 2.4852 0.0040
```

As for the calculated density: 5.05 g/cm3. As for the uncorrected formation energy: -1.6535 eV per atom. For the density of states at the Fermi level, the calculation gives 3.88 states/eV/f.u. Its space group is C2/m (12).

=====

3.
Computed, not measured: a geometry-optimized BaTlBiBr structure at the PBE-GGA level of DFT.

The structure in extended XYZ format:
```
4
Lattice="-2.5842 -1.8008 4.9234 -3.9413 -4.3122 -0.1768 1.3009 -5.2415 2.2348" Properties=species:S:1:pos:R:3 pbc="T T T"
Tl -2.6123 -5.6773 3.4907
Bi -3.9185 -8.5159 5.2361
Br -1.3062 -2.8386 1.7454
Ba 0.0000 0.0000 0.0000
```

As for the calculated density: 7.42 g/cm3. As for the uncorrected formation energy: -0.8182 eV per atom. For the density of states at the Fermi level, the calculation gives 2.40 states/eV/f.u. Its space group is F-43m (216).

=====

4.
Computed, not measured: a geometry-optimized BaBi2WBr structure at the PBE-GGA level of DFT.

The structure in extended XYZ format:
```
5
Lattice="6.4473 0.0000 0.0000 0.0000 6.1435 0.0000 0.0000 0.0000 6.4473" Properties=species:S:1:pos:R:3 pbc="T T T"
Br 3.2237 3.0717 3.2237
Bi 0.0000 0.0000 3.2237
Bi 3.2237 0.0000 0.0000
W 0.0000 3.0717 0.0000
Ba 0.0000 0.0000 0.0000
```

As for the calculated density: 5.33 g/cm3. As for the uncorrected formation energy: 1.8723 eV per atom. For the density of states at the Fermi level, the calculation gives 5.79 states/eV/f.u. Its space group is P4/mmm (123).

=====

5.
Computed, not measured: a geometry-optimized BaY2BiBr structure at the PBE-GGA level of DFT.

The structure in extended XYZ format:
```
5
Lattice="6.1958 0.0000 0.0000 0.0000 5.6603 0.0000 0.0000 0.0000 6.1958" Properties=species:S:1:pos:R:3 pbc="T T T"
Y 0.0000 0.0000 3.0979
Y 3.0979 0.0000 0.0000
Bi 3.0979 2.8302 3.0979
Br 0.0000 2.8302 0.0000
Ba 0.0000 0.0000 0.0000
```

As for the calculated density: 4.62 g/cm3. As for the uncorrected formation energy: 0.5851 eV per atom. For the density of states at the Fermi level, the calculation gives 5.63 states/eV/f.u. Its space group is P4/mmm (123).

=====

6.
Computed, not measured: a geometry-optimized BaZrBi2Br structure at the PBE-GGA level of DFT.

The structure in extended XYZ format:
```
5
Lattice="5.7605 0.0000 0.0000 0.0000 5.4977 0.0000 0.0000 0.0000 5.7605" Properties=species:S:1:pos:R:3 pbc="T T T"
Br 0.0000 2.7488 0.0000
Bi 0.0000 0.0000 2.8802
Bi 2.8802 0.0000 0.0000
Zr 0.0000 0.0000 0.0000
Ba 2.8802 2.7488 2.8802
```

As for the calculated density: 6.61 g/cm3. As for the uncorrected formation energy: -0.6763 eV per atom. For the density of states at the Fermi level, the calculation gives 2.42 states/eV/f.u. Its space group is P4/mmm (123).

=====

7.
Computed, not measured: a geometry-optimized Ba2BiC structure at the PBE-GGA level of DFT.

The structure in extended XYZ format:
```
8
Lattice="11.1858 0.0000 0.0000 0.0000 11.1858 0.0000 5.5929 5.5929 2.4991" Properties=species:S:1:pos:R:3 pbc="T T T"
C 5.5929 5.5929 0.0000
C 5.5929 11.1858 1.2495
Bi 0.0000 0.0000 0.0000
Bi 11.1858 5.5929 1.2495
Ba 6.3266 2.7964 0.6248
Ba 4.8592 8.3893 0.6248
Ba 8.3893 10.4521 1.8743
Ba 13.9822 11.9195 1.8743
```

As for the calculated density: 5.26 g/cm3. For the density of states at the Fermi level, the calculation gives 4.44 states/eV/f.u. Its space group is I-42d (122). Its distance to the lowest polymorph of the same formula is 0.0000 eV per atom.

=====

8.
Computed, not measured: a geometry-optimized BaBi2C structure at the PBE-GGA level of DFT.

The structure in extended XYZ format:
```
8
Lattice="-0.8867 7.1369 -3.0306 -7.4710 -1.6025 -1.5880 -5.2629 4.1890 1.3562" Properties=species:S:1:pos:R:3 pbc="T T T"
C -4.1788 2.7672 -2.3093
C -8.4564 2.6768 -1.2706
Bi -2.6944 4.4274 -1.3798
Bi -6.2053 1.8179 -1.4060
Bi -8.0026 5.0195 -0.9107
Bi -10.3388 8.1819 -2.8283
Ba 0.0000 0.0000 0.0000
Ba -5.1642 7.0465 -1.9919
```

As for the calculated density: 7.59 g/cm3. For the density of states at the Fermi level, the calculation gives 1.29 states/eV/f.u. Its space group is I-42d (122). As for the raw total energy: -4.232 eV per atom.